[1]
## BiAsIrO (PBE-GGA)

Data for an optimized crystal structure of BiAsIrO.

The structure in CIF format:
```
data_BiAsIrO
_space_group_name_H-M_alt 'P 4/n m m'
_space_group_IT_number 129
_cell_length_a 4.0308
_cell_length_b 4.0308
_cell_length_c 8.9388
_cell_angle_alpha 90.00
_cell_angle_beta 90.00
_cell_angle_gamma 90.00
loop_
_space_group_symop_operation_xyz
'x,y,z'
'-x,-y,-z'
'-y+1/2,x,z'
'y+1/2,-x,-z'
'-x+1/2,-y+1/2,z'
'x+1/2,y+1/2,-z'
'y,-x+1/2,z'
'-y,x+1/2,-z'
'x+1/2,-y,-z'
'-x+1/2,y,z'
'-y,-x,-z'
'y,x,z'
'-x,y+1/2,-z'
'x,-y+1/2,z'
'y+1/2,x+1/2,-z'
'-y+1/2,-x+1/2,z'
loop_
_atom_site_label
_atom_site_type_symbol
_atom_site_fract_x
_atom_site_fract_y
_atom_site_fract_z
_atom_site_occupancy
Bi1 Bi 0.2500 0.2500 0.1397 1
As1 As 0.2500 0.2500 0.6609 1
Ir1 Ir 0.2500 0.7500 0.5000 1
O1 O 0.2500 0.7500 0.0000 1
```

Summary:
Magnetic moment ... 0.00 μB/cell



[2]
## BiAsIrO (PBE-GGA)

Data for an optimized crystal structure of BiAsIrO.

The structure in CIF format:
```
data_BiAsIrO
_space_group_name_H-M_alt 'P m c 21'
_space_group_IT_number 26
_space_group_name_Hall 'P 2c -2'
_cell_length_a 3.5008
_cell_length_b 6.7447
_cell_length_c 7.1995
_cell_angle_alpha 90.00
_cell_angle_beta 90.00
_cell_angle_gamma 90.00
loop_
_atom_site_label
_atom_site_type_symbol
_atom_site_fract_x
_atom_site_fract_y
_atom_site_fract_z
_atom_site_occupancy
Bi1 Bi 0.0000 0.1943 0.0000 1
As1 As 0.0000 0.2461 0.3999 1
Ir1 Ir 0.5000 0.4623 0.5022 1
O1 O 0.5000 0.3693 0.7602 1
```

Summary:
Magnetic moment ... 0.00 μB/cell



[3]
## BiAsIrO (PBE-GGA)

Data for an optimized crystal structure of BiAsIrO.

The structure in CIF format:
```
data_BiAsIrO
_space_group_name_H-M_alt 'P 4/n m m'
_space_group_IT_number 129
_cell_length_a 4.3236
_cell_length_b 4.3236
_cell_length_c 8.3345
_cell_angle_alpha 90.00
_cell_angle_beta 90.00
_cell_angle_gamma 90.00
loop_
_space_group_symop_operation_xyz
'x,y,z'
'-x,-y,-z'
'-y+1/2,x,z'
'y+1/2,-x,-z'
'-x+1/2,-y+1/2,z'
'x+1/2,y+1/2,-z'
'y,-x+1/2,z'
'-y,x+1/2,-z'
'x+1/2,-y,-z'
'-x+1/2,y,z'
'-y,-x,-z'
'y,x,z'
'-x,y+1/2,-z'
'x,-y+1/2,z'
'y+1/2,x+1/2,-z'
'-y+1/2,-x+1/2,z'
loop_
_atom_site_label
_atom_site_type_symbol
_atom_site_fract_x
_atom_site_fract_y
_atom_site_fract_z
_atom_site_occupancy
Bi1 Bi 0.2500 0.7500 0.0000 1
As1 As 0.2500 0.2500 0.2712 1
Ir1 Ir 0.2500 0.2500 0.5578 1
O1 O 0.2500 0.7500 0.5000 1
```

Summary:
Magnetic moment ... 0.01 μB/cell



[4]
## BiAsIrO (PBE-GGA)

Data for an optimized crystal structure of BiAsIrO.

The structure in CIF format:
```
data_BiAsIrO
_space_group_name_H-M_alt 'P m c 21'
_space_group_IT_number 26
_space_group_name_Hall 'P 2c -2'
_cell_length_a 4.0144
_cell_length_b 5.9456
_cell_length_c 6.7946
_cell_angle_alpha 90.00
_cell_angle_beta 90.00
_cell_angle_gamma 90.00
loop_
_atom_site_label
_atom_site_type_symbol
_atom_site_fract_x
_atom_site_fract_y
_atom_site_fract_z
_atom_site_occupancy
Bi1 Bi 0.0000 0.1038 0.0000 1
As1 As 0.5000 0.3320 0.7517 1
Ir1 Ir 0.5000 0.3068 0.4032 1
O1 O 0.0000 0.2467 0.3499 1
```

Summary:
Magnetic moment ... 0.01 μB/cell



[5]
## LiReBiAs (PBE-GGA)

Data for an optimized crystal structure of LiReBiAs.

The structure in CIF format:
```
data_LiReBiAs
_space_group_name_H-M_alt 'F -4 3 m'
_space_group_IT_number 216
_space_group_name_Hall 'F -4 2 3'
_cell_length_a 6.6369
_cell_length_b 6.6369
_cell_length_c 6.6369
_cell_angle_alpha 90.00
_cell_angle_beta 90.00
_cell_angle_gamma 90.00
loop_
_atom_site_label
_atom_site_type_symbol
_atom_site_fract_x
_atom_site_fract_y
_atom_site_fract_z
_atom_site_occupancy
Li1 Li 0.0000 0.0000 0.0000 1
Re1 Re 0.2500 0.2500 0.2500 1
Bi1 Bi 0.2500 0.2500 0.7500 1
As1 As 0.0000 0.0000 0.5000 1
```

Summary:
Magnetic moment ... 5.77 μB/cell



[6]
## LiReBiAs (PBE-GGA)

Data for an optimized crystal structure of LiReBiAs.

The structure in CIF format:
```
data_LiReBiAs
_space_group_name_H-M_alt 'F -4 3 m'
_space_group_IT_number 216
_space_group_name_Hall 'F -4 2 3'
_cell_length_a 6.5639
_cell_length_b 6.5639
_cell_length_c 6.5639
_cell_angle_alpha 90.00
_cell_angle_beta 90.00
_cell_angle_gamma 90.00
loop_
_atom_site_label
_atom_site_type_symbol
_atom_site_fract_x
_atom_site_fract_y
_atom_site_fract_z
_atom_site_occupancy
Li1 Li 0.0000 0.0000 0.0000 1
Re1 Re 0.0000 0.0000 0.5000 1
Bi1 Bi 0.2500 0.2500 0.7500 1
As1 As 0.2500 0.2500 0.2500 1
```

Summary:
Magnetic moment ... 0.13 μB/cell



[7]
## Li2Zn2BiAs (PBE-GGA)

Data for an optimized crystal structure of Li2Zn2BiAs.

The structure in CIF format:
```
data_Li2Zn2BiAs
_space_group_name_H-M_alt 'P 1 m 1'
_space_group_IT_number 6
_space_group_name_Hall 'P -2y'
_cell_length_a 10.7079
_cell_length_b 4.3995
_cell_length_c 10.7231
_cell_angle_alpha 90.00
_cell_angle_beta 109.62
_cell_angle_gamma 90.00
loop_
_atom_site_label
_atom_site_type_symbol
_atom_site_fract_x
_atom_site_fract_y
_atom_site_fract_z
_atom_site_occupancy
Li1 Li 0.0000 0.0000 0.0000 1
Li2 Li 0.1019 0.5000 0.3587 1
Li3 Li 0.2255 0.0000 0.7281 1
Li4 Li 0.3786 0.5000 0.1345 1
Li5 Li 0.5081 0.0000 0.5249 1
Li6 Li 0.6232 0.5000 0.8870 1
Li7 Li 0.7325 0.0000 0.2626 1
Li8 Li 0.8591 0.5000 0.6544 1
Zn1 Zn 0.0937 0.5000 0.6041 1
Zn2 Zn 0.2673 0.0000 0.9976 1
Zn3 Zn 0.3690 0.5000 0.3872 1
Zn4 Zn 0.5078 0.0000 0.7778 1
Zn5 Zn 0.6260 0.5000 0.1280 1
Zn6 Zn 0.7642 0.0000 0.5277 1
Zn7 Zn 0.8652 0.5000 0.8965 1
Zn8 Zn 0.9706 0.0000 0.2445 1
Bi1 Bi 0.1204 0.5000 0.8733 1
Bi2 Bi 0.2389 0.0000 0.2501 1
Bi3 Bi 0.3694 0.5000 0.6412 1
Bi4 Bi 0.6267 0.5000 0.3909 1
As1 As 0.5091 0.0000 0.0154 1
As2 As 0.7510 0.0000 0.7694 1
As3 As 0.8624 0.5000 0.1307 1
As4 As 0.9877 0.0000 0.4927 1
```



[8]
## Lu3Bi2As (PBE-GGA)

Data for an optimized crystal structure of Lu3Bi2As.

The structure in CIF format:
```
data_Lu3Bi2As
_space_group_name_H-M_alt 'P -3 m 1'
_space_group_IT_number 164
_space_group_name_Hall '-P 3 2"'
_cell_length_a 4.2433
_cell_length_b 4.2433
_cell_length_c 10.5764
_cell_angle_alpha 90.00
_cell_angle_beta 90.00
_cell_angle_gamma 120.00
loop_
_atom_site_label
_atom_site_type_symbol
_atom_site_fract_x
_atom_site_fract_y
_atom_site_fract_z
_atom_site_occupancy
Lu1 Lu 0.0000 0.0000 0.0000 1
Lu2 Lu 0.3333 0.6667 0.6450 1
Bi1 Bi 0.3333 0.6667 0.1749 1
As1 As 0.0000 0.0000 0.5000 1
```

Summary:
Magnetic moment ... 0.00 μB/cell



Number 1: theoretical density 11.3 g/cm3, calculated total energy -49.13 eV for the cell shown. Number 2: theoretical density 9.6 g/cm3, calculated total energy -45.88 eV for the cell shown. Number 3: theoretical density 10.5 g/cm3, calculated total energy -40.94 eV for the cell shown. Number 4: theoretical density 10.1 g/cm3, calculated total energy -45.19 eV for the cell shown. Number 5: theoretical density 10.8 g/cm3, calculated total energy -80.27 eV for the cell shown. Number 6: theoretical density 11.2 g/cm3, calculated total energy -87.27 eV for the cell shown. Number 7: theoretical density 6.0 g/cm3, calculated total energy -67.96 eV for the cell shown. Number 8: theoretical density 10.2 g/cm3, calculated total energy -32.08 eV for the cell shown.